1.
The following is a PBE calculation of crystalline GaNi3Te at its relaxed geometry, from Alexandria via LeMat-Bulk.

Summary:
- Calculated volume: 20.5 Å³/atom
- Relative energy among the computed polymorphs: 0.205 eV/atom
- Final energy: -20.12 eV per formula unit
- Crystal system: cubic
- Formation energy from raw total energies: 0.679 eV/atom

a = 4.6805 Å, b = 4.6805 Å, c = 4.6805 Å
α = 90.00°, β = 90.00°, γ = 90.00°
Fractional positions:
Ni 0.0000 0.5000 0.0000
Ni 0.0000 0.0000 0.5000
Ni 0.5000 0.0000 0.0000
Te 0.0000 0.0000 0.0000
Ga 0.5000 0.5000 0.5000


2.
The following is a PBE calculation of crystalline ThSc2CoSn2 at its relaxed geometry, from Alexandria via LeMat-Bulk.

Summary:
- Calculated volume: 28.4 Å³/atom
- Final energy: -33.30 eV per formula unit
- Crystal system: tetragonal

a = 5.5494 Å, b = 5.5494 Å, c = 6.7761 Å
α = 114.17°, β = 114.17°, γ = 90.00°
Fractional positions:
Th 0.5000 0.5000 0.0000
Sc 0.2500 0.7500 0.5000
Sc 0.7500 0.2500 0.5000
Co 0.0000 0.0000 0.0000
Sn 0.7813 0.7813 0.5625
Sn 0.2187 0.2187 0.4375


3.
The following is a PBE calculation of crystalline PmDy2YSe4 at its relaxed geometry, from Alexandria via LeMat-Bulk.

Summary:
- Calculated volume: 24.5 Å³/atom
- Final energy: -48.53 eV per formula unit
- Crystal system: monoclinic
- Formation energy from raw total energies: -1.772 eV/atom

a = 4.0546 Å, b = 7.1512 Å, c = 7.1491 Å
α = 71.21°, β = 90.00°, γ = 90.00°
Fractional positions:
Pm 0.5000 0.5000 0.0000
Dy 0.0000 0.0000 0.0000
Dy 0.5000 0.0000 0.5000
Y 0.0000 0.5000 0.5000
Se 0.0000 0.7580 0.7429
Se 0.0000 0.2420 0.2571
Se 0.5000 0.7545 0.2528
Se 0.5000 0.2455 0.7472


4.
The following is a PBE calculation of crystalline Cs2U3CuSe8 at its relaxed geometry, from Alexandria via LeMat-Bulk.

Summary:
- Calculated volume: 38.0 Å³/atom
- Final energy: -82.48 eV per formula unit
- Crystal system: trigonal
- Formation energy from raw total energies: -1.067 eV/atom

a = 8.2922 Å, b = 8.2922 Å, c = 10.1260 Å
α = 65.83°, β = 65.83°, γ = 60.00°
Fractional positions:
Cs 0.1370 0.1370 0.5890
Cs 0.4932 0.4932 0.5205
U 0.4928 0.9934 0.0210
U 0.9934 0.4928 0.0210
U 0.4928 0.4928 0.0210
Cu 0.9428 0.9428 0.1715
Se 0.2685 0.2685 0.1944
Se 0.7170 0.7170 0.8491
Se 0.2303 0.2303 0.8493
Se 0.6901 0.2303 0.8493
Se 0.2303 0.6901 0.8493
Se 0.7666 0.2712 0.1955
Se 0.2712 0.7666 0.1955
Se 0.7666 0.7666 0.1955


5.
The following is a PBE calculation of crystalline Li2TlSb at its relaxed geometry, from Alexandria via LeMat-Bulk.

Summary:
- Calculated volume: 22.1 Å³/atom
- Final energy: -11.58 eV per formula unit
- Crystal system: monoclinic
- Formation energy from raw total energies: -0.316 eV/atom

a = 5.6560 Å, b = 5.6560 Å, c = 4.9777 Å
α = 84.47°, β = 84.47°, γ = 33.92°
Fractional positions:
Li 0.9989 0.9989 0.0592
Li 0.7573 0.7573 0.6891
Sb 0.4878 0.4878 0.5709
Tl 0.2561 0.2561 0.1809


6.
The following is a PBE calculation of crystalline HoMg6Cd2 at its relaxed geometry, from Alexandria via LeMat-Bulk.

Summary:
- Calculated volume: 23.4 Å³/atom
- Relative energy among the computed polymorphs: 0.000 eV/atom
- Final energy: -16.68 eV per formula unit
- Crystal system: monoclinic

a = 4.2736 Å, b = 7.4048 Å, c = 7.3205 Å
α = 107.47°, β = 106.97°, γ = 90.00°
Fractional positions:
Ho 0.5000 0.5000 0.0000
Mg 0.3946 0.8464 0.7891
Mg 0.6054 0.1536 0.2109
Mg 0.7231 0.8388 0.4462
Mg 0.1744 0.5000 0.3488
Mg 0.2769 0.1612 0.5538
Mg 0.8256 0.5000 0.6512
Cd 0.9391 0.1673 0.8781
Cd 0.0609 0.8327 0.1219


7.
The following is a PBE calculation of crystalline LaNiBr2 at its relaxed geometry, from Alexandria via LeMat-Bulk.

Summary:
- Calculated volume: 26.4 Å³/atom
- Relative energy among the computed polymorphs: 0.490 eV/atom
- Final energy: -15.76 eV per formula unit
- Crystal system: orthorhombic
- Formation energy from raw total energies: -0.426 eV/atom

a = 3.8905 Å, b = 3.8905 Å, c = 8.3343 Å
α = 90.00°, β = 90.00°, γ = 123.27°
Fractional positions:
Br 0.0000 0.0000 0.9514
Br 0.0000 0.0000 0.5486
La 0.5000 0.5000 0.2500
Ni 0.5000 0.5000 0.7500


8.
The following is a PBE calculation of crystalline La8Si3PBr4 at its relaxed geometry, from Alexandria via LeMat-Bulk.

Summary:
- Calculated volume: 30.4 Å³/atom
- Final energy: -88.03 eV per formula unit
- Crystal system: trigonal
- Formation energy from raw total energies: -1.265 eV/atom

a = 8.6698 Å, b = 8.9847 Å, c = 8.6694 Å
α = 118.85°, β = 120.00°, γ = 90.00°
Fractional positions:
La 0.2356 0.7111 0.9755
La 0.2356 0.7111 0.4713
La 0.2618 0.2854 0.5236
La 0.7399 0.7111 0.9755
La 0.2601 0.2889 0.0245
La 0.7382 0.7146 0.4764
La 0.7644 0.2889 0.5287
La 0.7644 0.2889 0.0245
Si 0.5000 0.5000 0.0000
Si 0.5000 0.5000 0.5000
Si 0.0000 0.5000 0.5000
P 0.0000 0.5000 0.0000
Br 0.5000 0.0000 0.0000
Br 0.5000 0.0000 0.5000
Br 0.0000 0.0000 0.0000
Br 0.0000 0.0000 0.5000


9.
The following is a PBE calculation of crystalline CuPt at its relaxed geometry, from Alexandria via LeMat-Bulk.

Summary:
- Calculated volume: 15.7 Å³/atom
- Final energy: -9.33 eV per formula unit
- Crystal system: cubic

a = 3.5399 Å, b = 3.5399 Å, c = 3.5399 Å
α = 60.00°, β = 60.00°, γ = 60.00°
Fractional positions:
Cu 0.0000 0.0000 0.0000
Pt 0.5000 0.5000 0.5000


10.
The following is a PBE calculation of crystalline Cs3NbW at its relaxed geometry, from Alexandria via LeMat-Bulk.

Summary:
- Calculated volume: 46.6 Å³/atom
- Relative energy among the computed polymorphs: 0.000 eV/atom
- Final energy: -11.17 eV per formula unit
- Crystal system: cubic

a = 6.1543 Å, b = 6.1543 Å, c = 6.1543 Å
α = 90.00°, β = 90.00°, γ = 90.00°
Fractional positions:
Cs 0.0000 0.5000 0.0000
Cs 0.0000 0.0000 0.5000
Cs 0.5000 0.0000 0.0000
Nb 0.5000 0.5000 0.5000
W 0.0000 0.0000 0.0000


11.
The following is a PBE calculation of crystalline LaGaNiH2 at its relaxed geometry, from Alexandria via LeMat-Bulk.

Summary:
- Calculated volume: 18.9 Å³/atom
- Relative energy among the computed polymorphs: 0.722 eV/atom
- Final energy: -19.26 eV per formula unit
- Crystal system: tetragonal

a = 4.2272 Å, b = 5.2901 Å, c = 4.2272 Å
α = 90.00°, β = 90.00°, γ = 90.00°
Fractional positions:
Ni 0.0000 0.5000 0.0000
H 0.0000 0.0000 0.5000
H 0.5000 0.0000 0.0000
Ga 0.5000 0.5000 0.5000
La 0.0000 0.0000 0.0000


12.
The following is a PBE calculation of crystalline Zr2IrC2 at its relaxed geometry, from Alexandria via LeMat-Bulk.

Summary:
- Calculated volume: 14.0 Å³/atom
- Relative energy among the computed polymorphs: 0.000 eV/atom
- Final energy: -43.18 eV per formula unit
- Crystal system: tetragonal

a = 3.1068 Å, b = 3.1068 Å, c = 7.5646 Å
α = 78.15°, β = 78.15°, γ = 90.00°
Fractional positions:
C 0.7500 0.2500 0.5000
C 0.2500 0.7500 0.5000
Ir 0.0000 0.0000 0.0000
Zr 0.3729 0.3729 0.2542
Zr 0.6271 0.6271 0.7458


13.
The following is a PBE calculation of crystalline ErTmCu2 at its relaxed geometry, from Alexandria via LeMat-Bulk.

Summary:
- Calculated volume: 20.1 Å³/atom
- Final energy: -18.36 eV per formula unit
- Crystal system: cubic

a = 4.8461 Å, b = 4.8461 Å, c = 4.8461 Å
α = 60.00°, β = 60.00°, γ = 60.00°
Fractional positions:
Tm 0.0000 0.0000 0.0000
Cu 0.7500 0.7500 0.7500
Cu 0.2500 0.2500 0.2500
Er 0.5000 0.5000 0.5000


14.
The following is a PBE calculation of crystalline KLiNpCl5 at its relaxed geometry, from Alexandria via LeMat-Bulk.

Summary:
- Calculated volume: 31.5 Å³/atom
- Final energy: -39.65 eV per formula unit
- Crystal system: monoclinic
- Formation energy from raw total energies: -1.809 eV/atom

a = 7.5653 Å, b = 7.5653 Å, c = 10.0919 Å
α = 104.01°, β = 104.01°, γ = 107.11°
Fractional positions:
K 0.3525 0.6475 0.2500
K 0.6475 0.3525 0.7500
Li 0.6890 0.3110 0.2500
Li 0.3110 0.6890 0.7500
Np 0.0000 0.0000 0.5000
Np 0.0000 0.0000 0.0000
Cl 0.0914 0.9086 0.2500
Cl 0.9086 0.0914 0.7500
Cl 0.9190 0.3183 0.1222
Cl 0.0810 0.6817 0.8778
Cl 0.6817 0.0810 0.3778
Cl 0.3183 0.9190 0.6222
Cl 0.7491 0.6214 0.4283
Cl 0.2509 0.3786 0.5717
Cl 0.3786 0.2509 0.0717
Cl 0.6214 0.7491 0.9283


15.
The following is a PBE calculation of crystalline TaReOs at its relaxed geometry, from Alexandria via LeMat-Bulk.

Summary:
- Calculated volume: 15.8 Å³/atom
- Relative energy among the computed polymorphs: 0.171 eV/atom
- Final energy: -35.28 eV per formula unit
- Crystal system: trigonal

a = 4.4437 Å, b = 4.4437 Å, c = 2.7787 Å
α = 90.00°, β = 90.00°, γ = 120.00°
Fractional positions:
Os 0.0000 0.0000 0.9678
Re 0.6667 0.3333 0.3717
Ta 0.3333 0.6667 0.6605


16.
The following is a PBE calculation of crystalline KNa2Pd2 at its relaxed geometry, from Alexandria via LeMat-Bulk.

Summary:
- Calculated volume: 23.2 Å³/atom
- Relative energy among the computed polymorphs: 0.000 eV/atom
- Final energy: -14.11 eV per formula unit
- Crystal system: tetragonal

a = 8.8500 Å, b = 8.8500 Å, c = 2.9581 Å
α = 90.00°, β = 90.00°, γ = 90.00°
Fractional positions:
Na 0.3769 0.8769 0.0000
Na 0.8769 0.6231 0.0000
Na 0.6231 0.1231 0.0000
Na 0.1231 0.3769 0.0000
K 0.0000 0.0000 0.0000
K 0.5000 0.5000 0.0000
Pd 0.1719 0.6719 0.5000
Pd 0.6719 0.8281 0.5000
Pd 0.8281 0.3281 0.5000
Pd 0.3281 0.1719 0.5000


17.
The following is a PBE calculation of crystalline NaTl8Bi2 at its relaxed geometry, from Alexandria via LeMat-Bulk.

Summary:
- Calculated volume: 30.8 Å³/atom
- Relative energy among the computed polymorphs: 0.000 eV/atom
- Final energy: -28.48 eV per formula unit
- Crystal system: monoclinic

a = 4.9572 Å, b = 7.8165 Å, c = 10.6520 Å
α = 121.38°, β = 103.46°, γ = 90.00°
Fractional positions:
Na 0.5000 0.0000 0.0000
Tl 0.5901 0.7322 0.1802
Tl 0.3196 0.5441 0.6391
Tl 0.1388 0.0943 0.2776
Tl 0.0484 0.3697 0.0968
Tl 0.8612 0.9057 0.7224
Tl 0.6804 0.4559 0.3609
Tl 0.4099 0.2678 0.8198
Tl 0.9516 0.6303 0.9032
Bi 0.2264 0.8205 0.4528
Bi 0.7736 0.1795 0.5472


18.
The following is a PBE calculation of crystalline MgZrHg2 at its relaxed geometry, from Alexandria via LeMat-Bulk.

Summary:
- Calculated volume: 22.1 Å³/atom
- Final energy: -11.09 eV per formula unit
- Crystal system: monoclinic

a = 3.2369 Å, b = 3.2369 Å, c = 9.9412 Å
α = 80.53°, β = 80.53°, γ = 59.97°
Fractional positions:
Mg 0.6665 0.6665 0.0005
Zr 0.5000 0.5000 0.4998
Hg 0.0815 0.0815 0.7556
Hg 0.2520 0.2520 0.2441


no.,DOS at the Fermi energy (states/eV/cell)
1,5.03
2,10.16
3,4.69
4,16.66
5,1.20
6,5.16
7,3.82
8,8.70
9,1.76
10,29.84
11,1.37
12,2.86
13,2.21
14,13.09
15,3.52
16,2.14
17,4.79
18,3.45